Record 1
An optimized crystal structure of FeSb3Cl, computed with PBE.

The structure in CIF format:
```
data_FeSb3Cl
_chemical_formula_sum 'Fe1 Sb3 Cl1'
_symmetry_space_group_name_H-M 'P m -3 m'
_symmetry_Int_Tables_number 221
_symmetry_space_group_name_Hall '-P 4 2 3'
_cell_length_a 4.969
_cell_length_b 4.969
_cell_length_c 4.969
_cell_angle_alpha 90.00
_cell_angle_beta 90.00
_cell_angle_gamma 90.00
loop_
_atom_site_label
_atom_site_fract_x
_atom_site_fract_y
_atom_site_fract_z
Fe1 0.000 0.000 0.000
Sb1 0.000 0.000 0.500
Cl1 0.500 0.500 0.500
```

- Spin magnetization: 0.0 μB per formula unit
- E_form (uncorrected): 0.253 eV/atom
- Energy above the lowest structure with this stoichiometry: 0.000 eV per atom
- Total energy: -4.282 eV per atom


Record 2
An optimized crystal structure of Zr3Np4TiAs8, computed with PBE.

The structure in CIF format:
```
data_Zr3Np4TiAs8
_chemical_formula_sum 'Zr9 Np12 Ti3 As24'
_symmetry_space_group_name_H-M 'R -3 m'
_symmetry_Int_Tables_number 166
_symmetry_space_group_name_Hall '-R 3 2"'
_cell_length_a 7.9253
_cell_length_b 7.9253
_cell_length_c 19.3522
_cell_angle_alpha 90.00
_cell_angle_beta 90.00
_cell_angle_gamma 120.00
loop_
_atom_site_label
_atom_site_fract_x
_atom_site_fract_y
_atom_site_fract_z
Zr1 0.0000 0.5000 0.0000
Np1 0.0000 0.0000 0.5000
Np2 0.0000 0.5000 0.5000
Ti1 0.0000 0.0000 0.0000
As1 0.0000 0.0000 0.2541
As2 0.0069 0.5034 0.7440
```

- Spin magnetization: 7.9 μB per formula unit
- Total energy: -8.546 eV per atom
- Formation energy: -0.89 eV per atom


Record 3
An optimized crystal structure of TlAsIO2, computed with PBE.

The structure in CIF format:
```
data_TlAsIO2
_chemical_formula_sum 'Tl1 As1 I1 O2'
_symmetry_space_group_name_H-M 'P 4/m m m'
_symmetry_Int_Tables_number 123
_symmetry_space_group_name_Hall '-P 4 2'
_cell_length_a 4.217
_cell_length_b 4.217
_cell_length_c 5.870
_cell_angle_alpha 90.00
_cell_angle_beta 90.00
_cell_angle_gamma 90.00
loop_
_atom_site_label
_atom_site_fract_x
_atom_site_fract_y
_atom_site_fract_z
Tl1 0.000 0.000 0.000
As1 0.500 0.500 0.500
I1 0.500 0.500 0.000
O1 0.000 0.500 0.500
```

- Spin magnetization: 0.0 μB per formula unit
- E_form (uncorrected): -0.125 eV/atom
- Energy above the lowest structure with this stoichiometry: 0.635 eV per atom
- Total energy: -3.822 eV per atom


Record 4
An optimized crystal structure of P2RhPbS, computed with PBE.

The structure in CIF format:
```
data_P2RhPbS
_chemical_formula_sum 'P2 Rh1 Pb1 S1'
_symmetry_space_group_name_H-M 'P 4/m m m'
_symmetry_Int_Tables_number 123
_symmetry_space_group_name_Hall '-P 4 2'
_cell_length_a 4.509
_cell_length_b 4.509
_cell_length_c 5.325
_cell_angle_alpha 90.00
_cell_angle_beta 90.00
_cell_angle_gamma 90.00
loop_
_atom_site_label
_atom_site_fract_x
_atom_site_fract_y
_atom_site_fract_z
P1 0.000 0.500 0.000
Rh1 0.000 0.000 0.000
Pb1 0.500 0.500 0.500
S1 0.000 0.000 0.500
```

- Spin magnetization: 0.0 μB per formula unit
- E_form (uncorrected): 0.268 eV/atom
- Energy above the lowest structure with this stoichiometry: 0.000 eV per atom
- Total energy: -4.934 eV per atom


Record 5
An optimized crystal structure of Zr2CrTe, computed with PBE.

The structure in CIF format:
```
data_Zr2CrTe
_chemical_formula_sum 'Zr2 Cr1 Te1'
_symmetry_space_group_name_H-M 'P 4 m m'
_symmetry_Int_Tables_number 99
_cell_length_a 3.693
_cell_length_b 3.693
_cell_length_c 6.204
_cell_angle_alpha 90.00
_cell_angle_beta 90.00
_cell_angle_gamma 90.00
loop_
_symmetry_equiv_pos_as_xyz
'x,y,z'
'-y,x,z'
'-x,-y,z'
'y,-x,z'
'-x,y,z'
'y,x,z'
'x,-y,z'
'-y,-x,z'
loop_
_atom_site_label
_atom_site_fract_x
_atom_site_fract_y
_atom_site_fract_z
Zr1 0.000 0.000 0.000
Zr2 0.500 0.500 0.279
Cr1 0.000 0.000 0.494
Te1 0.500 0.500 0.763
```

- Spin magnetization: 2.7 μB per formula unit
- E_form (uncorrected): -0.097 eV/atom
- Total energy: -7.562 eV per atom


Please write out number 5 again, unchanged.
An optimized crystal structure of Zr2CrTe, computed with PBE.

The structure in CIF format:
```
data_Zr2CrTe
_chemical_formula_sum 'Zr2 Cr1 Te1'
_symmetry_space_group_name_H-M 'P 4 m m'
_symmetry_Int_Tables_number 99
_cell_length_a 3.693
_cell_length_b 3.693
_cell_length_c 6.204
_cell_angle_alpha 90.00
_cell_angle_beta 90.00
_cell_angle_gamma 90.00
loop_
_symmetry_equiv_pos_as_xyz
'x,y,z'
'-y,x,z'
'-x,-y,z'
'y,-x,z'
'-x,y,z'
'y,x,z'
'x,-y,z'
'-y,-x,z'
loop_
_atom_site_label
_atom_site_fract_x
_atom_site_fract_y
_atom_site_fract_z
Zr1 0.000 0.000 0.000
Zr2 0.500 0.500 0.279
Cr1 0.000 0.000 0.494
Te1 0.500 0.500 0.763
```

- Spin magnetization: 2.7 μB per formula unit
- E_form (uncorrected): -0.097 eV/atom
- Total energy: -7.562 eV per atom


Which value of total energy does entry 4 give? -4.934 eV per atom